# CsK4Au4 PBE relaxed
# - ΔE_f (meV/atom) = -251
data_CsK4Au4
_space_group_name_H-M_alt 'P 42/n'
_space_group_IT_number 86
_cell_length_a 8.5547
_cell_length_b 8.5547
_cell_length_c 9.8372
_cell_angle_alpha 90.00
_cell_angle_beta 90.00
_cell_angle_gamma 90.00
loop_
_space_group_symop_operation_xyz
'x,y,z'
'-x,-y,-z'
'-y,x+1/2,z+1/2'
'y,-x+1/2,-z+1/2'
'-x+1/2,-y+1/2,z'
'x+1/2,y+1/2,-z'
'y+1/2,-x,z+1/2'
'-y+1/2,x,-z+1/2'
loop_
_atom_site_label
_atom_site_fract_x
_atom_site_fract_y
_atom_site_fract_z
Cs1 0.2500 0.2500 0.2500
K1 0.0184 0.6824 0.1279
Au1 0.0071 0.6680 0.4712

---

# BaVIr3 PBE relaxed
# - ΔE_f (meV/atom) = 480
data_BaVIr3
_space_group_name_H-M_alt 'P m -3 m'
_space_group_IT_number 221
_space_group_name_Hall '-P 4 2 3'
_cell_length_a 4.7239
_cell_length_b 4.7239
_cell_length_c 4.7239
_cell_angle_alpha 90.00
_cell_angle_beta 90.00
_cell_angle_gamma 90.00
loop_
_atom_site_label
_atom_site_fract_x
_atom_site_fract_y
_atom_site_fract_z
Ba1 0.0000 0.0000 0.0000
V1 0.5000 0.5000 0.5000
Ir1 0.0000 0.5000 0.5000

---

# KBe2Pt PBE relaxed
# - ΔE_f (meV/atom) = 641
data_KBe2Pt
_space_group_name_H-M_alt 'F m -3 m'
_space_group_IT_number 225
_space_group_name_Hall '-F 4 2 3'
_cell_length_a 6.3427
_cell_length_b 6.3427
_cell_length_c 6.3427
_cell_angle_alpha 90.00
_cell_angle_beta 90.00
_cell_angle_gamma 90.00
loop_
_atom_site_label
_atom_site_fract_x
_atom_site_fract_y
_atom_site_fract_z
K1 0.0000 0.0000 0.0000
Be1 0.2500 0.2500 0.2500
Pt1 0.0000 0.0000 0.5000

---

# ThNpP2 PBE relaxed
# - ΔE_f (meV/atom) = -1204
data_ThNpP2
_space_group_name_H-M_alt 'R -3 m'
_space_group_IT_number 166
_space_group_name_Hall '-R 3 2"'
_cell_length_a 4.0720
_cell_length_b 4.0720
_cell_length_c 19.7799
_cell_angle_alpha 90.00
_cell_angle_beta 90.00
_cell_angle_gamma 120.00
loop_
_atom_site_label
_atom_site_fract_x
_atom_site_fract_y
_atom_site_fract_z
Th1 0.0000 0.0000 0.0000
Np1 0.0000 0.0000 0.5000
P1 0.0000 0.0000 0.2454

---

# MgCd7In4 PBE relaxed
# - ΔE_f (meV/atom) = 7
data_MgCd7In4
_space_group_name_H-M_alt 'C 1 2/m 1'
_space_group_IT_number 12
_space_group_name_Hall '-C 2y'
_cell_length_a 10.3641
_cell_length_b 4.5515
_cell_length_c 12.7449
_cell_angle_alpha 90.00
_cell_angle_beta 107.95
_cell_angle_gamma 90.00
loop_
_atom_site_label
_atom_site_fract_x
_atom_site_fract_y
_atom_site_fract_z
Mg1 0.0000 0.0000 0.0000
Cd1 0.0000 0.0000 0.5000
Cd2 0.0067 0.0000 0.7534
Cd3 0.1682 0.5000 0.9160
Cd4 0.1690 0.5000 0.6706
In1 0.1615 0.5000 0.1607
In2 0.1621 0.5000 0.4168

---

# Zr2ZnIr PBE relaxed
# - ΔE_f (meV/atom) = -550
data_Zr2ZnIr
_space_group_name_H-M_alt 'P 1 m 1'
_space_group_IT_number 6
_space_group_name_Hall 'P -2y'
_cell_length_a 3.4546
_cell_length_b 4.2402
_cell_length_c 5.4522
_cell_angle_alpha 90.00
_cell_angle_beta 108.35
_cell_angle_gamma 90.00
loop_
_atom_site_label
_atom_site_fract_x
_atom_site_fract_y
_atom_site_fract_z
Zr1 0.0000 0.0000 0.0000
Zr2 0.2885 0.5000 0.5786
Zn1 0.7219 0.0000 0.4456
Ir1 0.5563 0.5000 0.1128

---

# Tm6Tl3Pt PBE relaxed
# - ΔE_f (meV/atom) = -447
data_Tm6Tl3Pt
_space_group_name_H-M_alt 'P n n m'
_space_group_IT_number 58
_space_group_name_Hall '-P 2 2n'
_cell_length_a 8.9225
_cell_length_b 11.7190
_cell_length_c 5.1223
_cell_angle_alpha 90.00
_cell_angle_beta 90.00
_cell_angle_gamma 90.00
loop_
_atom_site_label
_atom_site_fract_x
_atom_site_fract_y
_atom_site_fract_z
Tm1 0.0128 0.2376 0.0000
Tm2 0.1564 0.0822 0.5000
Tm3 0.1876 0.4111 0.5000
Tl1 0.0000 0.5000 0.0000
Tl2 0.1541 0.7315 0.5000
Pt1 0.0000 0.0000 0.0000

---

# Sb2OsW PBE relaxed
# - E_form (uncorrected) (eV/atom) = 0.357
data_Sb2OsW
_space_group_name_H-M_alt 'P m m 2'
_space_group_IT_number 25
_space_group_name_Hall 'P 2 -2'
_cell_length_a 2.9808
_cell_length_b 3.7969
_cell_length_c 7.7531
_cell_angle_alpha 90.00
_cell_angle_beta 90.00
_cell_angle_gamma 90.00
loop_
_atom_site_label
_atom_site_fract_x
_atom_site_fract_y
_atom_site_fract_z
Sb1 0.0000 0.0000 0.0000
Sb2 0.5000 0.5000 0.4039
Os1 0.5000 0.5000 0.7801
W1 0.0000 0.0000 0.6289